Record 1
Compound: ZnFeP2O
Source: the Alexandria database
Functional: SCAN
Structure: PBEsol geometry

Unit cell a=3.3155 b=4.5897 c=4.5897 alpha=90.00 beta=90.00 gamma=90.00
With the nearest neighbours (Å) after each atom.
Element x y z (fractional)
1 O 0.5000 0.0000 0.0000  2 Fe 1.66
2 Fe 0.0000 0.0000 0.0000  2 O 1.66
3 P 0.0000 0.0000 0.5000  2 Fe 2.29
4 P 0.0000 0.5000 0.0000  2 Fe 2.29
5 Zn 0.5000 0.5000 0.5000  8 P 2.83

Properties
- Magnetic moment: 1.796 μB/cell
- Formation energy from raw total energies: 0.091 eV/atom

Record 2
Compound: FeRePbO2
Source: the Alexandria database
Functional: SCAN
Structure: PBEsol geometry

Unit cell a=3.7758 b=3.7758 c=5.2085 alpha=90.00 beta=90.00 gamma=90.00
With the nearest neighbours (Å) after each atom.
Element x y z (fractional)
1 O 0.5000 0.0000 0.0000  2 Re 1.89
2 O 0.0000 0.5000 0.0000  2 Re 1.89
3 Fe 0.0000 0.0000 0.5000  2 Re 2.60, 4 Pb 2.67
4 Pb 0.5000 0.5000 0.5000  4 Fe 2.67
5 Re 0.0000 0.0000 0.0000  4 O 1.89

Properties
- Magnetic moment: 2.460 μB/cell
- Formation energy from raw total energies: -0.500 eV/atom

Record 3
Compound: FeRePb2O6
Source: the Alexandria database
Functional: SCAN
Structure: PBEsol geometry

Unit cell a=5.6408 b=5.6408 c=5.6408 alpha=88.61 beta=120.80 gamma=120.80
With the nearest neighbours (Å) after each atom.
Element x y z (fractional)
1 Pb 0.5000 0.2823 0.7823  8 O 2.59-2.81
2 Pb 0.5000 0.7823 0.2823  8 O 2.59-2.81
3 O 0.0000 0.7593 0.7593  1 Fe 1.93, 1 Re 1.98
4 O 0.0000 0.2397 0.2397  1 Re 1.90
5 O 0.0000 0.2367 0.7453  1 Re 1.94, 1 Fe 2.02
6 O 0.0000 0.7453 0.2367  1 Re 1.94, 1 Fe 2.02
7 O 0.4914 0.2367 0.2367  1 Re 1.94, 1 Fe 2.02
8 O 0.5086 0.7453 0.7453  1 Re 1.94, 1 Fe 2.02
9 Re 0.0000 0.0048 0.0048  6 O 1.90-1.98
10 Fe 0.0000 0.5196 0.5196  5 O 1.93-2.02

Properties
- Magnetic moment: 3.000 μB/cell
- Formation energy from raw total energies: -1.430 eV/atom

Record 4
Compound: FeRe2PbO
Source: the Alexandria database
Functional: SCAN
Structure: PBEsol geometry

Unit cell a=4.3601 b=4.3601 c=4.9613 alpha=90.00 beta=90.00 gamma=90.00
With the nearest neighbours (Å) after each atom.
Element x y z (fractional)
1 Pb 0.0000 0.0000 0.5000  2 Fe 2.48
2 Re 0.0000 0.5000 0.0000  2 Fe 2.18
3 Re 0.5000 0.0000 0.0000  2 Fe 2.18
4 O 0.5000 0.5000 0.5000  4 Pb 3.08, 8 Re 3.30
5 Fe 0.0000 0.0000 0.0000  4 Re 2.18

Properties
- Magnetic moment: 4.199 μB/cell
- Formation energy from raw total energies: 1.913 eV/atom

Record 5
Compound: FeSb3Pb4O13
Source: the Alexandria database
Functional: SCAN
Structure: PBEsol geometry

Unit cell a=7.3210 b=7.3210 c=7.3210 alpha=60.97 beta=60.97 gamma=60.97
With the nearest neighbours (Å) after each atom.
Element x y z (fractional)
1 O 0.5711 0.1845 0.5711  1 Fe 1.96, 1 Sb 2.00
2 O 0.5734 0.1744 0.1744  2 Sb 2.02
3 O 0.8229 0.8229 0.4294  2 Sb 2.00
4 O 0.1744 0.5734 0.1744  2 Sb 2.02
5 O 0.4319 0.4319 0.8118  1 Fe 1.92, 1 Sb 1.99
6 O 0.8229 0.4294 0.8229  2 Sb 2.00
7 O 0.8118 0.4319 0.4319  1 Fe 1.92, 1 Sb 1.99
8 O 0.5711 0.5711 0.1845  1 Fe 1.96, 1 Sb 2.00
9 O 0.8743 0.8743 0.8743  4 Pb 2.28-2.32
10 O 0.4294 0.8229 0.8229  2 Sb 2.00
11 O 0.4319 0.8118 0.4319  1 Fe 1.92, 1 Sb 1.99
12 O 0.1744 0.1744 0.5734  2 Sb 2.02
13 O 0.1845 0.5711 0.5711  1 Fe 1.96, 1 Sb 2.00
14 Pb 0.0028 0.4911 0.0028  3 O 2.32-2.55
15 Pb 0.4911 0.0028 0.0028  3 O 2.32-2.55
16 Pb 0.0025 0.0025 0.0025  1 O 2.28
17 Pb 0.0028 0.0028 0.4911  3 O 2.32-2.55
18 Fe 0.5011 0.5011 0.5011  6 O 1.92-1.96
19 Sb 0.5004 0.9996 0.5004  6 O 1.99-2.02
20 Sb 0.9996 0.5004 0.5004  6 O 1.99-2.02
21 Sb 0.5004 0.5004 0.9996  6 O 1.99-2.02

Properties
- Magnetic moment: 1.039 μB/cell
- Formation energy from raw total energies: -1.441 eV/atom

Record 6
Compound: FePd2O2
Source: the Alexandria database
Functional: SCAN
Structure: PBEsol geometry

Unit cell a=4.4438 b=4.4527 c=4.4438 alpha=60.07 beta=90.00 gamma=119.93
With the nearest neighbours (Å) after each atom.
Element x y z (fractional)
1 O 0.2820 0.5639 0.7180  1 Fe 1.78
2 O 0.7180 0.4361 0.2820  1 Fe 1.78
3 Pd 0.2500 0.5000 0.2500  4 O 2.23
4 Pd 0.7500 0.5000 0.7500  4 O 2.23
5 Fe 0.0000 0.0000 0.0000  2 O 1.78

Properties
- Magnetic moment: 3.730 μB/cell
- Formation energy from raw total energies: -0.301 eV/atom